Density functional theory data (PBE) for a relaxed structure of CrCuBr2.

Uncorrected energy = -14.71 eV/cell
SG = F-43m, No. 216
DOS(E_F) = 3.03 states/eV/f.u.
Polymorph energy (0 for the lowest one) = 0.6584 eV/atom
ΔE_f (raw) = 589.9 meV per atom

Cell and atoms, written as POSCAR:
```
CrCuBr2
1.0
0.000 3.495 3.495
3.495 0.000 3.495
3.495 3.495 0.000
Cr Cu Br
1 1 2
Direct
0.000 0.000 0.000 Cr
0.750 0.750 0.750 Cu
0.250 0.250 0.250 Br
0.500 0.500 0.500 Br
```